{
  "formula": "Pu3Pt8Rh",
  "functional": "PBE",
  "state": "optimized geometry",
  "space_group": "R3m",
  "dos_at_fermi_per_ev_atom": 2.95,
  "formation_energy_ev_per_atom": -0.641,
  "crystal_system": "trigonal",
  "cell": [[2.6967, 1.5569, 8.8100], [-2.6967, 1.5569, 8.8100], [0.0000, -3.1139, 8.8100]],
  "species": ["Pu", "Pu", "Pu", "Pt", "Pt", "Pt", "Pt", "Pt", "Pt", "Pt", "Pt", "Rh"],
  "fractional_positions": [[0.0000, 0.0000, 0.0000], [0.1295, 0.1295, 0.1295], [0.5158, 0.5158, 0.5158], [0.0677, 0.5685, 0.5685], [0.0694, 0.0694, 0.5677], [0.0694, 0.5677, 0.0694], [0.3183, 0.3183, 0.3183], [0.5685, 0.0677, 0.5685], [0.5677, 0.0694, 0.0694], [0.5685, 0.5685, 0.0677], [0.8187, 0.8187, 0.8187], [0.6392, 0.6392, 0.6392]]
}

{
  "formula": "V4GaNi",
  "functional": "PBE",
  "state": "optimized geometry",
  "space_group": "Cmc2_1",
  "dos_at_fermi_per_ev_atom": 1.26,
  "formation_energy_ev_per_atom": 0.194,
  "crystal_system": "orthorhombic",
  "cell": [[2.0367, -8.4850, 0.0000], [2.0367, 8.4850, 0.0000], [0.0000, 0.0000, 5.0560]],
  "species": ["V", "V", "V", "V", "V", "V", "V", "V", "Ga", "Ga", "Ni", "Ni"],
  "fractional_positions": [[0.0532, 0.9468, 0.5000], [0.1989, 0.8011, 0.3764], [0.2236, 0.7764, 0.8912], [0.3746, 0.6254, 0.6970], [0.6254, 0.3746, 0.1970], [0.7764, 0.2236, 0.3912], [0.8011, 0.1989, 0.8764], [0.9468, 0.0532, 0.0000], [0.3621, 0.6379, 0.1912], [0.6379, 0.3621, 0.6912], [0.0814, 0.9186, 0.9722], [0.9186, 0.0814, 0.4722]]
}

{
  "formula": "Ho6Pd2C",
  "functional": "PBE",
  "state": "optimized geometry",
  "space_group": "P2_1/c",
  "dos_at_fermi_per_ev_atom": 0.93,
  "formation_energy_ev_per_atom": -0.522,
  "crystal_system": "monoclinic",
  "cell": [[6.5548, 0.0000, 0.0000], [0.0000, 7.0267, 0.0000], [-6.3854, 0.0000, 9.5251]],
  "species": ["Ho", "Ho", "Ho", "Ho", "Ho", "Ho", "Ho", "Ho", "Ho", "Ho", "Ho", "Ho", "Pd", "Pd", "Pd", "Pd", "C", "C"],
  "fractional_positions": [[0.1331, 0.0310, 0.2424], [0.1331, 0.4690, 0.7424], [0.2341, 0.7008, 0.0553], [0.2341, 0.7992, 0.5553], [0.3600, 0.1817, 0.0546], [0.3600, 0.3183, 0.5546], [0.6400, 0.6817, 0.4454], [0.6400, 0.8183, 0.9454], [0.7659, 0.2008, 0.4447], [0.7659, 0.2992, 0.9447], [0.8669, 0.5310, 0.2576], [0.8669, 0.9690, 0.7576], [0.2863, 0.0833, 0.7515], [0.2863, 0.4167, 0.2515], [0.7137, 0.5833, 0.7485], [0.7137, 0.9167, 0.2485], [0.0000, 0.0000, 0.0000], [0.0000, 0.5000, 0.5000]]
}

{
  "formula": "BeCoAs2Se",
  "functional": "PBE",
  "state": "optimized geometry",
  "relative_energy_mev_per_atom": 0,
  "space_group": "P4/mmm",
  "dos_at_fermi_per_ev_atom": 0.66,
  "crystal_system": "tetragonal",
  "e_form_raw_mev_per_atom": 707,
  "cell": [[4.3741, 0.0000, 0.0000], [0.0000, 4.3741, 0.0000], [0.0000, 0.0000, 5.2004]],
  "species": ["Be", "Co", "As", "As", "Se"],
  "fractional_positions": [[0.0000, 0.0000, 0.0000], [0.5000, 0.5000, 0.5000], [0.0000, 0.5000, 0.5000], [0.5000, 0.0000, 0.5000], [0.5000, 0.5000, 0.0000]]
}

{
  "formula": "Li4SmTm3Se8",
  "functional": "PBE",
  "state": "optimized geometry",
  "space_group": "R-3m",
  "dos_at_fermi_per_ev_atom": 0.00,
  "crystal_system": "trigonal",
  "e_form_raw_mev_per_atom": -1687,
  "cell": [[4.0545, 2.3409, 6.4963], [-4.0545, 2.3409, 6.4963], [0.0000, -4.6817, 6.4963]],
  "species": ["Li", "Li", "Li", "Li", "Sm", "Tm", "Tm", "Tm", "Se", "Se", "Se", "Se", "Se", "Se", "Se", "Se"],
  "fractional_positions": [[0.0000, 0.0000, 0.0000], [0.0000, 0.5000, 0.5000], [0.5000, 0.0000, 0.5000], [0.5000, 0.5000, 0.0000], [0.5000, 0.5000, 0.5000], [0.0000, 0.0000, 0.5000], [0.0000, 0.5000, 0.0000], [0.5000, 0.0000, 0.0000], [0.2437, 0.7547, 0.7547], [0.2453, 0.2453, 0.7563], [0.2453, 0.7563, 0.2453], [0.2498, 0.2498, 0.2498], [0.7502, 0.7502, 0.7502], [0.7547, 0.2437, 0.7547], [0.7547, 0.7547, 0.2437], [0.7563, 0.2453, 0.2453]]
}

{
  "formula": "KMnNi",
  "functional": "PBE",
  "state": "optimized geometry",
  "relative_energy_mev_per_atom": 666,
  "space_group": "P3m1",
  "dos_at_fermi_per_ev_atom": 0.58,
  "formation_energy_ev_per_atom": 1.028,
  "crystal_system": "trigonal",
  "cell": [[4.9080, 0.0000, 0.0000], [-2.4540, 4.2504, 0.0000], [0.0000, 0.0000, 2.9376]],
  "species": ["K", "Mn", "Ni"],
  "fractional_positions": [[0.0000, 0.0000, 0.0000], [0.6667, 0.3333, 0.4625], [0.3333, 0.6667, 0.5663]]
}

{
  "formula": "YMgRh2",
  "functional": "PBE",
  "state": "optimized geometry",
  "space_group": "I-42d",
  "dos_at_fermi_per_ev_atom": 0.71,
  "formation_energy_ev_per_atom": -0.059,
  "crystal_system": "tetragonal",
  "cell": [[-2.1737, 2.1737, 8.6675], [2.1737, -2.1737, 8.6675], [2.1737, 2.1737, -8.6675]],
  "species": ["Y", "Y", "Mg", "Mg", "Rh", "Rh", "Rh", "Rh"],
  "fractional_positions": [[0.0000, 0.0000, 0.0000], [0.7500, 0.2500, 0.5000], [0.2500, 0.7500, 0.5000], [0.5000, 0.5000, 0.0000], [0.1864, 0.6250, 0.0614], [0.3750, 0.4364, 0.5614], [0.5636, 0.1250, 0.9386], [0.8750, 0.8136, 0.4386]]
}

{
  "formula": "Pm3Dy2Au7",
  "functional": "PBE",
  "state": "optimized geometry",
  "space_group": "Cmmm",
  "dos_at_fermi_per_ev_atom": 0.59,
  "formation_energy_ev_per_atom": -0.701,
  "crystal_system": "orthorhombic",
  "cell": [[2.5486, -10.7905, 0.0000], [2.5486, 10.7905, 0.0000], [0.0000, 0.0000, 5.4078]],
  "species": ["Pm", "Pm", "Pm", "Dy", "Dy", "Au", "Au", "Au", "Au", "Au", "Au", "Au"],
  "fractional_positions": [[0.0000, 0.0000, 0.0000], [0.1682, 0.8318, 0.0000], [0.8318, 0.1682, 0.0000], [0.3585, 0.6415, 0.5000], [0.6415, 0.3585, 0.5000], [0.0739, 0.9261, 0.5000], [0.2209, 0.7791, 0.5000], [0.4118, 0.5882, 0.0000], [0.5000, 0.5000, 0.5000], [0.5882, 0.4118, 0.0000], [0.7791, 0.2209, 0.5000], [0.9261, 0.0739, 0.5000]]
}

{
  "formula": "BaBiAs2",
  "functional": "PBE",
  "state": "optimized geometry",
  "space_group": "I-42d",
  "dos_at_fermi_per_ev_atom": 1.15,
  "formation_energy_ev_per_atom": -0.331,
  "crystal_system": "tetragonal",
  "cell": [[-4.0170, 4.0170, 4.3766], [4.0170, -4.0170, 4.3766], [4.0170, 4.0170, -4.3766]],
  "species": ["Ba", "Ba", "Bi", "Bi", "As", "As", "As", "As"],
  "fractional_positions": [[0.0000, 0.0000, 0.0000], [0.7500, 0.2500, 0.5000], [0.2500, 0.7500, 0.5000], [0.5000, 0.5000, 0.0000], [0.1756, 0.6250, 0.0506], [0.3750, 0.4256, 0.5506], [0.5744, 0.1250, 0.9494], [0.8750, 0.8244, 0.4494]]
}

{
  "formula": "Dy6YSc12",
  "functional": "PBE",
  "state": "optimized geometry",
  "space_group": "R-3m",
  "dos_at_fermi_per_ev_atom": 1.51,
  "formation_energy_ev_per_atom": 0.506,
  "crystal_system": "trigonal",
  "cell": [[6.3784, 3.6826, 3.8871], [-6.3784, 3.6826, 3.8871], [0.0000, -7.3651, 3.8871]],
  "species": ["Dy", "Dy", "Dy", "Dy", "Dy", "Dy", "Y", "Sc", "Sc", "Sc", "Sc", "Sc", "Sc", "Sc", "Sc", "Sc", "Sc", "Sc", "Sc"],
  "fractional_positions": [[0.2397, 0.7211, 0.7211], [0.2789, 0.2789, 0.7603], [0.2789, 0.7603, 0.2789], [0.7211, 0.2397, 0.7211], [0.7211, 0.7211, 0.2397], [0.7603, 0.2789, 0.2789], [0.5000, 0.5000, 0.5000], [0.0000, 0.3855, 0.6145], [0.0000, 0.6145, 0.3855], [0.0439, 0.0439, 0.3342], [0.0439, 0.3342, 0.0439], [0.3342, 0.0439, 0.0439], [0.3855, 0.0000, 0.6145], [0.3855, 0.6145, 0.0000], [0.6145, 0.0000, 0.3855], [0.6145, 0.3855, 0.0000], [0.6658, 0.9561, 0.9561], [0.9561, 0.6658, 0.9561], [0.9561, 0.9561, 0.6658]]
}

{
  "formula": "MgZrZn2",
  "functional": "PBE",
  "state": "optimized geometry",
  "space_group": "I-4m2",
  "dos_at_fermi_per_ev_atom": 0.93,
  "formation_energy_ev_per_atom": 0.009,
  "crystal_system": "tetragonal",
  "cell": [[-2.0927, 2.0927, 4.2253], [2.0927, -2.0927, 4.2253], [2.0927, 2.0927, -4.2253]],
  "species": ["Mg", "Zr", "Zn", "Zn"],
  "fractional_positions": [[0.0000, 0.0000, 0.0000], [0.7500, 0.2500, 0.5000], [0.2500, 0.7500, 0.5000], [0.5000, 0.5000, 0.0000]]
}

{
  "formula": "CeSmCS",
  "functional": "PBE",
  "state": "optimized geometry",
  "space_group": "P4/mmm",
  "dos_at_fermi_per_ev_atom": 0.84,
  "crystal_system": "tetragonal",
  "e_form_raw_mev_per_atom": -1016,
  "cell": [[3.8477, 0.0000, 0.0000], [0.0000, 3.8477, 0.0000], [0.0000, 0.0000, 5.5226]],
  "species": ["Ce", "Sm", "C", "S"],
  "fractional_positions": [[0.0000, 0.0000, 0.0000], [0.5000, 0.5000, 0.5000], [0.5000, 0.5000, 0.0000], [0.0000, 0.0000, 0.5000]]
}

{
  "formula": "DyZn4Au12",
  "functional": "PBE",
  "state": "optimized geometry",
  "space_group": "Im-3",
  "dos_at_fermi_per_ev_atom": 0.40,
  "formation_energy_ev_per_atom": 0.003,
  "crystal_system": "cubic",
  "cell": [[-4.4556, 4.4556, 4.4556], [4.4556, -4.4556, 4.4556], [4.4556, 4.4556, -4.4556]],
  "species": ["Dy", "Zn", "Zn", "Zn", "Zn", "Au", "Au", "Au", "Au", "Au", "Au", "Au", "Au", "Au", "Au", "Au", "Au"],
  "fractional_positions": [[0.0000, 0.0000, 0.0000], [0.0000, 0.0000, 0.5000], [0.0000, 0.5000, 0.0000], [0.5000, 0.0000, 0.0000], [0.5000, 0.5000, 0.5000], [0.1538, 0.4958, 0.3421], [0.1538, 0.8117, 0.6579], [0.1883, 0.3421, 0.8462], [0.3421, 0.1538, 0.4958], [0.3421, 0.8462, 0.1883], [0.4958, 0.3421, 0.1538], [0.5042, 0.6579, 0.8462], [0.6579, 0.1538, 0.8117], [0.6579, 0.8462, 0.5042], [0.8117, 0.6579, 0.1538], [0.8462, 0.1883, 0.3421], [0.8462, 0.5042, 0.6579]]
}

{
  "formula": "Sr5LiCu4",
  "functional": "PBE",
  "state": "optimized geometry",
  "space_group": "C2/m",
  "dos_at_fermi_per_ev_atom": 0.70,
  "formation_energy_ev_per_atom": -0.038,
  "crystal_system": "monoclinic",
  "cell": [[9.8508, -2.1537, 0.0000], [9.8508, 2.1537, 0.0000], [-3.2286, 0.0000, 7.3856]],
  "species": ["Sr", "Sr", "Sr", "Sr", "Sr", "Li", "Cu", "Cu", "Cu", "Cu"],
  "fractional_positions": [[0.0000, 0.0000, 0.0000], [0.3088, 0.3088, 0.7096], [0.3617, 0.3617, 0.2433], [0.6383, 0.6383, 0.7567], [0.6912, 0.6912, 0.2904], [0.0000, 0.0000, 0.5000], [0.1167, 0.1167, 0.4402], [0.4583, 0.4583, 0.6519], [0.5417, 0.5417, 0.3481], [0.8833, 0.8833, 0.5598]]
}

{
  "formula": "RbLi2P2",
  "functional": "PBE",
  "state": "optimized geometry",
  "relative_energy_mev_per_atom": 291,
  "space_group": "P4/mbm",
  "dos_at_fermi_per_ev_atom": 0.36,
  "formation_energy_ev_per_atom": -0.155,
  "crystal_system": "tetragonal",
  "cell": [[8.5348, 0.0000, 0.0000], [0.0000, 8.5348, 0.0000], [0.0000, 0.0000, 2.7808]],
  "species": ["Rb", "Rb", "Li", "Li", "Li", "Li", "P", "P", "P", "P"],
  "fractional_positions": [[0.0000, 0.0000, 0.0000], [0.5000, 0.5000, 0.0000], [0.1202, 0.3798, 0.5000], [0.3798, 0.8798, 0.5000], [0.6202, 0.1202, 0.5000], [0.8798, 0.6202, 0.5000], [0.1502, 0.6502, 0.0000], [0.3498, 0.1502, 0.0000], [0.6502, 0.8498, 0.0000], [0.8498, 0.3498, 0.0000]]
}

{
  "formula": "MgCr2AsN",
  "functional": "PBE",
  "state": "optimized geometry",
  "space_group": "P4/mmm",
  "dos_at_fermi_per_ev_atom": 0.70,
  "crystal_system": "tetragonal",
  "e_form_raw_mev_per_atom": -166,
  "cell": [[3.9967, 0.0000, 0.0000], [0.0000, 3.9967, 0.0000], [0.0000, 0.0000, 4.2198]],
  "species": ["Mg", "Cr", "Cr", "As", "N"],
  "fractional_positions": [[0.0000, 0.0000, 0.0000], [0.0000, 0.5000, 0.5000], [0.5000, 0.0000, 0.5000], [0.5000, 0.5000, 0.0000], [0.0000, 0.0000, 0.5000]]
}

{
  "formula": "InSiTe2As",
  "functional": "PBE",
  "state": "optimized geometry",
  "space_group": "P4/mmm",
  "dos_at_fermi_per_ev_atom": 0.38,
  "crystal_system": "tetragonal",
  "e_form_raw_mev_per_atom": 459,
  "cell": [[5.6288, 0.0000, 0.0000], [0.0000, 5.6288, 0.0000], [0.0000, 0.0000, 4.8796]],
  "species": ["In", "Si", "Te", "Te", "As"],
  "fractional_positions": [[0.0000, 0.0000, 0.0000], [0.5000, 0.5000, 0.0000], [0.0000, 0.5000, 0.5000], [0.5000, 0.0000, 0.5000], [0.5000, 0.5000, 0.5000]]
}

{
  "formula": "Tb5HoAg6",
  "functional": "PBE",
  "state": "optimized geometry",
  "space_group": "Cmmm",
  "dos_at_fermi_per_ev_atom": 0.50,
  "formation_energy_ev_per_atom": -0.318,
  "crystal_system": "orthorhombic",
  "cell": [[2.5898, -7.7739, 0.0000], [2.5898, 7.7739, 0.0000], [0.0000, 0.0000, 7.2301]],
  "species": ["Tb", "Tb", "Tb", "Tb", "Tb", "Ho", "Ag", "Ag", "Ag", "Ag", "Ag", "Ag"],
  "fractional_positions": [[0.0000, 0.0000, 0.0000], [0.3331, 0.6669, 0.0000], [0.3336, 0.6664, 0.5000], [0.6664, 0.3336, 0.5000], [0.6669, 0.3331, 0.0000], [0.0000, 0.0000, 0.5000], [0.1660, 0.8340, 0.2509], [0.1660, 0.8340, 0.7491], [0.5000, 0.5000, 0.2523], [0.5000, 0.5000, 0.7477], [0.8340, 0.1660, 0.2509], [0.8340, 0.1660, 0.7491]]
}

{
  "formula": "LaPN3",
  "functional": "PBE",
  "state": "optimized geometry",
  "space_group": "P2_1/m",
  "dos_at_fermi_per_ev_atom": 0.33,
  "crystal_system": "monoclinic",
  "e_form_raw_mev_per_atom": -584,
  "cell": [[4.0756, 0.0000, 0.0000], [0.0000, 5.8155, 0.0000], [-1.5744, 0.0000, 6.8652]],
  "species": ["La", "La", "P", "P", "N", "N", "N", "N", "N", "N"],
  "fractional_positions": [[0.1824, 0.2500, 0.3067], [0.8176, 0.7500, 0.6933], [0.2740, 0.2500, 0.7751], [0.7260, 0.7500, 0.2249], [0.0902, 0.2500, 0.9492], [0.3222, 0.0164, 0.6716], [0.3222, 0.4836, 0.6716], [0.6778, 0.5164, 0.3284], [0.6778, 0.9836, 0.3284], [0.9098, 0.7500, 0.0508]]
}

{
  "formula": "EuCdSb2",
  "functional": "PBE",
  "state": "optimized geometry",
  "space_group": "R-3m",
  "dos_at_fermi_per_ev_atom": 0.92,
  "crystal_system": "trigonal",
  "e_form_raw_mev_per_atom": -332,
  "cell": [[2.5501, 1.4723, 5.0816], [-2.5501, 1.4723, 5.0816], [0.0000, -2.9447, 5.0816]],
  "species": ["Eu", "Cd", "Sb", "Sb"],
  "fractional_positions": [[0.0000, 0.0000, 0.0000], [0.5000, 0.5000, 0.5000], [0.2314, 0.2314, 0.2314], [0.7686, 0.7686, 0.7686]]
}

{
  "formula": "K6F5",
  "functional": "PBE",
  "state": "optimized geometry",
  "space_group": "C2/m",
  "dos_at_fermi_per_ev_atom": 0.20,
  "crystal_system": "monoclinic",
  "e_form_raw_mev_per_atom": -2416,
  "cell": [[3.3875, -5.8566, 0.0000], [3.3875, 5.8566, 0.0000], [-2.2737, 0.0000, 6.3692]],
  "species": ["K", "K", "K", "K", "K", "K", "F", "F", "F", "F", "F"],
  "fractional_positions": [[0.0664, 0.4146, 0.7458], [0.2392, 0.2392, 0.2619], [0.4146, 0.0664, 0.7458], [0.5854, 0.9336, 0.2542], [0.7608, 0.7608, 0.7381], [0.9336, 0.5854, 0.2542], [0.0000, 0.0000, 0.5000], [0.1671, 0.8329, 0.0000], [0.3337, 0.6663, 0.5000], [0.6663, 0.3337, 0.5000], [0.8329, 0.1671, 0.0000]]
}

{
  "formula": "CoSe3S",
  "functional": "PBE",
  "state": "optimized geometry",
  "relative_energy_mev_per_atom": 357,
  "space_group": "Pm-3m",
  "dos_at_fermi_per_ev_atom": 1.27,
  "crystal_system": "cubic",
  "e_form_raw_mev_per_atom": 972,
  "cell": [[4.8157, 0.0000, 0.0000], [0.0000, 4.8157, 0.0000], [0.0000, 0.0000, 4.8157]],
  "species": ["Co", "Se", "Se", "Se", "S"],
  "fractional_positions": [[0.0000, 0.0000, 0.0000], [0.0000, 0.5000, 0.5000], [0.5000, 0.0000, 0.5000], [0.5000, 0.5000, 0.0000], [0.5000, 0.5000, 0.5000]]
}

{
  "formula": "NbSbPdRh2",
  "functional": "PBE",
  "state": "optimized geometry",
  "space_group": "P4/mmm",
  "dos_at_fermi_per_ev_atom": 0.70,
  "crystal_system": "tetragonal",
  "e_form_raw_mev_per_atom": 745,
  "cell": [[4.7300, 0.0000, 0.0000], [0.0000, 4.7300, 0.0000], [0.0000, 0.0000, 4.9119]],
  "species": ["Nb", "Sb", "Pd", "Rh", "Rh"],
  "fractional_positions": [[0.0000, 0.0000, 0.0000], [0.5000, 0.5000, 0.5000], [0.0000, 0.0000, 0.5000], [0.0000, 0.5000, 0.0000], [0.5000, 0.0000, 0.0000]]
}